# Li4Sb2Pb PBE relaxed
# Energy relative to the elements, uncorrected   -0.21 eV per atom
# Crystal system   tetragonal
# Relative energy among the computed polymorphs   0.254 eV/atom
data_Li4Sb2Pb
_chemical_formula_sum 'Li4 Sb2 Pb1'
_cell_length_a 5.278
_cell_length_b 5.278
_cell_length_c 6.782
_cell_angle_alpha 112.90
_cell_angle_beta 112.90
_cell_angle_gamma 90.00
_space_group_name_H-M_alt 'P 1'
_space_group_IT_number 1
loop_
_space_group_symop_operation_xyz
'x,y,z'
loop_
_atom_site_label
_atom_site_fract_x
_atom_site_fract_y
_atom_site_fract_z
Pb1 0.000 0.000 0.000
Li1 0.750 0.250 0.500
Li2 0.500 0.000 0.000
Li3 0.000 0.500 0.000
Li4 0.250 0.750 0.500
Sb1 0.371 0.371 0.741
Sb2 0.629 0.629 0.259